First-principles (GGA+U) data for crystalline Mn2NbO5 at its relaxed geometry, as listed in the Alexandria database.

Results
density: 4422 kg/m3
energy: -131.923 eV/cell

```
16
Lattice="-1.1293 3.5504 1.0359 0.1904 -3.3230 4.3791 10.1709 2.7543 1.6479" Properties=species:S:1:pos:R:3 pbc="T T T"
Mn 3.6558 1.8998 4.6920
Mn -0.2266 0.8484 4.0630
Mn 5.5762 1.0819 2.3708
Mn 9.4586 2.1333 2.9999
Nb 6.8116 2.7994 5.0493
Nb 2.4203 0.1824 2.0135
O 8.0038 2.7563 6.4966
O 5.4302 2.0593 6.0797
O 4.0532 0.2370 3.6065
O 0.5868 -0.7017 3.0449
O 1.8108 1.7722 3.1180
O 7.4211 1.2095 3.9449
O 5.1787 2.7447 3.4563
O 8.6452 3.6835 4.0180
O 1.2282 0.2255 0.5662
O 3.8018 0.9224 0.9832
```